Record 1
Below is a relaxed NaCd3Ag6 crystal, with properties calculated at the GGA-PBE level.

a = 5.2201 Å, b = 8.0396 Å, c = 10.3355 Å
α = 109.36°, β = 99.06°, γ = 102.67°
With the nearest neighbours (Å) after each atom.
Space group P-1 (No. 2)
Inequivalent atoms, fractional coordinates:
Na  0.1576  0.0520  0.4001 [2 per cell]  9 Ag 2.98-3.09, 1 Na 3.05, 2 Cd 3.06-3.09
Cd  0.0511  0.3534  0.8013 [2 per cell]  8 Ag 2.97-3.05, 3 Cd 2.98-3.06, 1 Na 3.06
Cd  0.2555  0.7586  0.0017 [2 per cell]  10 Ag 2.93-3.11, 2 Cd 3.02-3.06
Cd  0.3561  0.4598  0.6067 [2 per cell]  9 Ag 2.96-3.07, 2 Cd 2.98-3.02, 1 Na 3.09
Ag  0.0527  0.3442  0.2963 [2 per cell]  6 Ag 2.97-3.03, 5 Cd 2.98-3.07, 1 Na 3.00
Ag  0.1465  0.0505  0.9021 [2 per cell]  7 Ag 2.94-3.06, 4 Cd 2.97-3.05, 1 Na 3.02
Ag  0.2459  0.7410  0.4976 [2 per cell]  4 Cd 2.96-3.03, 5 Ag 2.98-3.14, 3 Na 3.02-3.08
Ag  0.3491  0.4432  0.0969 [2 per cell]  7 Cd 2.96-3.11, 5 Ag 2.96-3.05
Ag  0.4553  0.1564  0.7067 [2 per cell]  4 Cd 2.93-3.06, 5 Ag 2.99-3.14, 3 Na 3.01-3.09
Ag  0.4624  0.1473  0.2011 [2 per cell]  3 Cd 2.94-2.96, 8 Ag 2.97-3.06, 1 Na 2.98

Results
* calculated volume: 19.33 A^3/atom
* energy of formation from the pure elements: -0.029 eV per atom
* DOS(E_F): 5.15 states/eV/cell



Record 2
Below is a relaxed HfOsSe2Br crystal, with properties calculated at the GGA-PBE level.

a = 5.1709 Å, b = 5.1709 Å, c = 5.2459 Å
α = 90.00°, β = 90.00°, γ = 90.00°
With the nearest neighbours (Å) after each atom.
Space group P4/mmm (No. 123)
Inequivalent atoms, fractional coordinates:
Hf  0.0000  0.0000  0.0000 [1 per cell]  4 Se 2.59, 2 Br 2.62
Os  0.5000  0.5000  0.5000 [1 per cell]  4 Br 3.66, 8 Se 3.68
Se  0.0000  0.5000  0.0000 [2 per cell]  2 Hf 2.59
Br  0.0000  0.0000  0.5000 [1 per cell]  2 Hf 2.62

Results
* formation energy (no corrections): 69.30 kJ per mole of atoms
* calculated volume: 28.05 A^3/atom
* DOS(E_F): 5.09 states/eV/cell



Record 3
Below is a relaxed Ir2Ru7Pt2 crystal, with properties calculated at the GGA-PBE level.

a = 6.8324 Å, b = 7.3644 Å, c = 6.6446 Å
α = 90.00°, β = 101.76°, γ = 90.00°
With the nearest neighbours (Å) after each atom.
Space group C2/m (No. 12)
Inequivalent atoms, fractional coordinates:
Ir  0.0000  0.1857  0.0000 [4 per cell]  8 Ru 2.63-2.81, 2 Pt 2.66, 1 Ir 2.74
Ru  0.0000  0.5000  0.5000 [2 per cell]  2 Pt 2.68, 10 Ru 2.77-2.92
Ru  0.1556  0.5000  0.9182 [4 per cell]  4 Ru 2.58-2.84, 1 Pt 2.64, 4 Ir 2.65-2.68
Ru  0.2286  0.1885  0.6930 [8 per cell]  3 Pt 2.60-2.66, 2 Ir 2.63-2.81, 5 Ru 2.78-2.90
Pt  0.1053  0.0000  0.3488 [4 per cell]  8 Ru 2.60-2.68, 2 Ir 2.66, 1 Pt 2.70

Results
* calculated volume: 14.88 A^3/atom
* energy of formation from the pure elements: 0.270 eV per atom
* DOS(E_F): 27.21 states/eV/cell



Record 4
Below is a relaxed CeCdAg crystal, with properties calculated at the GGA-PBE level.

a = 6.9435 Å, b = 6.9435 Å, c = 6.9435 Å
α = 90.00°, β = 90.00°, γ = 90.00°
With the nearest neighbours (Å) after each atom.
Space group F-43m (No. 216)
Inequivalent atoms, fractional coordinates:
Ce  0.0000  0.0000  0.0000 [4 per cell]  4 Ag 3.01
Cd  0.0000  0.0000  0.5000 [4 per cell]  4 Ag 3.01
Ag  0.2500  0.2500  0.2500 [4 per cell]  4 Cd 3.01, 4 Ce 3.01

Results
* calculated volume: 27.90 A^3/atom
* energy of formation from the pure elements: -0.029 eV per atom
* DOS(E_F): 30.07 states/eV/cell